# Cs4MoO5

Crystalline Cs4MoO5 at its relaxed geometry (PBE+U, the Alexandria database).

Unit cell a=7.035 b=7.035 c=7.035 alpha=101.12 beta=101.12 gamma=127.90
Fractional coordinates of all 10 atoms:
Cs 0.113 0.298 0.411
Cs 0.298 0.887 0.185
Cs 0.702 0.113 0.815
Cs 0.887 0.702 0.589
Mo 0.549 0.549 0.000
O 0.279 0.544 0.866
O 0.413 0.279 0.734
O 0.544 0.679 0.266
O 0.679 0.413 0.134
O 0.844 0.844 0.000

Properties
N(E_F) = 0.00 states/eV/atom
SG = No. 79
total energy = -5.166 eV/atom